# 1
A plane-wave DFT calculation with PBE-GGA was carried out for a relaxed structure of Sc6Pb2N.

Lattice parameters (Å, degrees): 3.372 14.141 8.390 90.00 90.00 90.00
Space group Amm2 (No. 38)
Unique sites:
Sc1 0.000 0.000 0.000 x2
Sc2 0.000 0.104 0.632 x4
Sc3 0.500 0.000 0.342 x2
Sc4 0.500 0.195 0.960 x4
Pb1 0.000 0.173 0.259 x4
N1 0.500 0.000 0.591 x2

Properties
DOS(E_F) ... 19.827 states/eV/cell
ΔE to the lowest computed polymorph ... 173 kJ/mol of formula units
Calculated volume ... 400 Å³ per cell



# 2
A plane-wave DFT calculation with PBE-GGA was carried out for a relaxed structure of HfZr3Ni2N.

Lattice parameters (Å, degrees): 4.334 4.398 12.759 90.00 90.00 90.00
Space group Immm (No. 71)
Unique sites:
Hf1 0.000 0.000 0.000 x2
Zr1 0.000 0.000 0.500 x2
Zr2 0.000 0.500 0.313 x4
Ni1 0.000 0.500 0.123 x4
N1 0.000 0.500 0.500 x2

Properties
DOS(E_F) ... 10.952 states/eV/cell
Calculated volume ... 243 Å³ per cell



# 3
A plane-wave DFT calculation with PBE-GGA was carried out for a relaxed structure of Be3Ir.

Lattice parameters (Å, degrees): 2.902 3.599 7.410 90.00 90.00 90.00
Space group Immm (No. 71)
Unique sites:
Be1 0.000 0.000 0.000 x2
Be2 0.000 0.500 0.254 x4
Ir1 0.000 0.000 0.500 x2

Properties
DOS(E_F) ... 0.878 states/eV/cell
Calculated volume ... 77 Å³ per cell



# 4
A plane-wave DFT calculation with PBE-GGA was carried out for a relaxed structure of Li2TmNpO4.

Lattice parameters (Å, degrees): 4.405 4.405 11.141 90.00 90.00 90.00
Space group I-4m2 (No. 119)
Unique sites:
Li1 0.000 0.000 0.000 x2
Li2 0.000 0.500 0.250 x2
Tm1 0.000 0.500 0.750 x2
Np1 0.000 0.000 0.500 x2
O1 0.000 0.000 0.281 x4
O2 0.000 0.500 0.544 x4

Properties
DOS(E_F) ... 10.318 states/eV/cell
Calculated volume ... 216 Å³ per cell



What E values result from the calculations? In sequence: -6.462 -8.575 -5.510 -7.766 eV per atom.
What total magnetization values result from the calculations? In sequence: 2.202 0.000 0.000 7.975 Bohr magnetons per cell.